Entry 1:
Cs5As: optimized geometry, PBE.

Cell: 10.4429 10.4429 6.4843 Å, 90.00 90.00 146.58°
Last column: nearest neighbours and their distance in Å.
Sites, in units of the cell vectors:
Cs  0.0000  0.0000  0.0000  8 Cs 4.04-4.09, 4 As 4.42
Cs  0.1208  0.8792  0.5000  2 As 3.85, 2 Cs 4.04
Cs  0.3611  0.6389  0.0000  6 Cs 4.09-4.43, 2 As 4.27
Cs  0.6389  0.3611  0.0000  6 Cs 4.09-4.43, 2 As 4.27
Cs  0.8792  0.1208  0.5000  2 As 3.85, 2 Cs 4.04
As  0.5000  0.5000  0.5000  8 Cs 3.85-4.27

***

Entry 2:
Cs3As: optimized geometry, PBE.

Cell: 9.2922 9.2922 5.6526 Å, 90.00 90.00 120.00°
Last column: nearest neighbours and their distance in Å.
Sites, in units of the cell vectors:
Cs  0.1923  0.3845  0.2500  2 As 3.63, 2 Cs 3.93
Cs  0.1923  0.8077  0.2500  2 As 3.63, 2 Cs 3.93
Cs  0.3845  0.1923  0.7500  2 As 3.63, 2 Cs 3.93
Cs  0.6155  0.8077  0.2500  2 As 3.63, 2 Cs 3.93
Cs  0.8077  0.1923  0.7500  2 As 3.63, 2 Cs 3.93
Cs  0.8077  0.6155  0.7500  2 As 3.63, 2 Cs 3.93
As  0.3333  0.6667  0.7500  6 Cs 3.63
As  0.6667  0.3333  0.2500  6 Cs 3.63

***

Entry 3:
Cs3As: optimized geometry, PBE.

Cell: 6.4178 6.4178 11.3703 Å, 90.00 90.00 120.00°
Last column: nearest neighbours and their distance in Å.
Sites, in units of the cell vectors:
Cs  0.0000  0.0000  0.2500  3 As 3.71
Cs  0.0000  0.0000  0.7500  3 As 3.71
Cs  0.3333  0.6667  0.0791  4 As 3.74-4.18, 7 Cs 3.89-4.18
Cs  0.3333  0.6667  0.4209  4 As 3.74-4.18, 7 Cs 3.89-4.18
Cs  0.6667  0.3333  0.5791  4 As 3.74-4.18, 7 Cs 3.89-4.18
Cs  0.6667  0.3333  0.9209  4 As 3.74-4.18, 7 Cs 3.89-4.18
As  0.3333  0.6667  0.7500  5 Cs 3.71-3.74
As  0.6667  0.3333  0.2500  5 Cs 3.71-3.74

***

Number 1: energy of formation from the pure elements -0.052 eV/atom, magnetization 0.00 μB/cell. Number 2: energy of formation from the pure elements -0.200 eV/atom, magnetization 0.00 μB/cell. Number 3: energy of formation from the pure elements -0.258 eV/atom, magnetization 0.00 μB/cell.